Entry from the Alexandria database: a geometry-optimized RbBi2Br8 structure (GGA-PBE).

Fermi-level density of states ... 0.123 states/eV per atom
Formation energy from raw total energies ... -798 meV per atom

Unit cell a=9.176 b=14.587 c=5.711 alpha=90.00 beta=90.17 gamma=90.00
Space group C2/m (No. 12)
Unique sites:
Rb1 0.000 0.000 0.000 x2
Bi1 0.000 0.296 0.500 x4
Br1 0.000 0.252 0.000 x4
Br2 0.000 0.500 0.247 x4
Br3 0.189 0.134 0.501 x8